# 1
Entry from Alexandria via LeMat-Bulk: a relaxed Rb3BaTl8 crystal (PBE).

The structure in POSCAR format:
```
Rb3BaTl8
1.0
6.779 0.000 0.000
3.389 5.871 0.000
3.389 1.957 11.048
Rb Tl Ba
3 8 1
direct
0.374 0.374 0.879
0.002 0.002 0.994
0.497 0.497 0.508
0.938 0.440 0.683
0.934 0.437 0.193
0.440 0.938 0.683
0.437 0.934 0.193
0.689 0.689 0.934
0.187 0.187 0.440
0.437 0.437 0.193
0.938 0.938 0.683
0.877 0.877 0.370
```

Results
Magnetic moment   0.00 Bohr magnetons per cell
Formation enthalpy at 0 K   -1.593 eV/f.u.
Space group   R3m, No. 160

***

# 2
Entry from Alexandria via LeMat-Bulk: a relaxed YSnAu crystal (PBE).

The structure in POSCAR format:
```
YSnAu
1.0
4.448 0.000 -0.006
0.000 6.188 0.000
-2.219 0.000 5.224
Sn Y Au
2 2 2
direct
0.391 0.254 0.824
0.391 0.754 0.824
0.699 0.004 0.440
0.083 0.504 0.208
0.013 0.004 0.067
0.769 0.504 0.581
```

Results
Magnetic moment   0.00 Bohr magnetons per cell
Formation enthalpy at 0 K   -2.196 eV/f.u.
Space group   Cmcm, No. 63

***

# 3
Entry from Alexandria via LeMat-Bulk: a relaxed BeCd2HBr crystal (PBE).

The structure in POSCAR format:
```
BeCd2HBr
1.0
-4.447 2.404 -1.658
0.515 -1.226 -3.158
-2.809 -4.348 1.231
H Cd Br Be
1 2 1 1
direct
0.000 0.500 0.000
0.000 0.000 0.500
0.500 0.000 0.000
0.500 0.500 0.500
0.000 0.000 0.000
```

Results
Total energy   -9.197 eV/cell
Magnetic moment   0.00 Bohr magnetons per cell
Space group   P4/mmm, No. 123

***

# 4
Entry from Alexandria via LeMat-Bulk: a relaxed ReOsCl2 crystal (PBE).

The structure in POSCAR format:
```
ReOsCl2
1.0
-0.901 -3.077 -4.353
1.073 -4.429 2.909
-4.851 -4.112 0.554
Os Re Cl
2 2 4
direct
0.750 0.250 0.500
0.000 0.000 0.000
0.500 0.500 0.000
0.250 0.750 0.500
0.375 0.377 0.750
0.623 0.125 0.250
0.875 0.873 0.750
0.127 0.625 0.250
```

Results
Magnetic moment   0.00 Bohr magnetons per cell
ΔE to the lowest computed polymorph   1.7410 eV per atom
Space group   I-42d, No. 122
Formation energy without anion corrections   1.7266 eV/atom

***

# 5
Entry from Alexandria via LeMat-Bulk: a relaxed Er3Th2UAs6 crystal (PBE).

The structure in POSCAR format:
```
Er3Th2UAs6
1.0
4.136 0.000 0.000
0.000 8.261 0.314
-2.068 -2.360 8.685
Er As U Th
3 6 1 2
direct
0.168 0.834 0.337
0.832 0.166 0.663
0.500 0.500 0.000
0.665 0.074 0.330
0.664 0.590 0.329
0.996 0.245 0.993
0.335 0.926 0.670
0.004 0.755 0.007
0.336 0.410 0.671
0.500 0.000 0.000
0.166 0.333 0.331
0.834 0.667 0.669
```

Results
Magnetic moment   0.08 Bohr magnetons per cell
Formation enthalpy at 0 K   -15.721 eV/f.u.
Space group   C2/m, No. 12

***

# 6
Entry from Alexandria via LeMat-Bulk: a relaxed PrIn5Rh crystal (PBE).

The structure in POSCAR format:
```
PrIn5Rh
1.0
-4.151 2.184 0.402
-0.430 0.045 -4.688
-3.535 -6.766 0.259
In Rh Pr
5 1 1
direct
0.500 0.500 0.000
0.500 0.000 0.305
0.500 0.000 0.695
0.000 0.500 0.305
0.000 0.500 0.695
0.000 0.000 0.500
0.000 0.000 0.000
```

Results
Magnetic moment   0.00 Bohr magnetons per cell
Formation enthalpy at 0 K   -3.186 eV/f.u.
Space group   P4/mmm, No. 123